EuTlH | PBE | relaxed

Values from the calculation:
The distance to the lowest polymorph of the same formula is 67 meV/atom. For the uncorrected energy, the calculation gives -5.51 eV per atom.

abc: 3.3800 3.3800 12.2518
angles: 90.00 90.00 90.00
Last column: nearest neighbours and their distance in Å.
Space group I4mm (No. 107)
Unique sites:
1 Eu 0.0000 0.0000 0.0000 (multiplicity 2)  4 H 2.40
2 Tl 0.0000 0.0000 0.2707 (multiplicity 2)  1 H 3.07, 1 Eu 3.32, 4 Tl 3.38
3 H 0.0000 0.0000 0.5216 (multiplicity 2)  4 Eu 2.40